# 1
A plane-wave DFT calculation with PBE-GGA was carried out for a relaxed structure of HoFe3NiB.

## Properties
- Calculated total energy: -7.232 eV/atom
- Magnetic moment: 5.73 μB per formula unit

Unit cell a=5.0011 b=5.0011 c=7.0491 alpha=90.00 beta=90.00 gamma=120.00
With the nearest neighbours (Å) after each atom.
Space group P6/mmm (No. 191)
One atom of each set of equivalent atoms:
Ho (0.0000, 0.0000, 0.0000) (multiplicity 1)  6 B 2.89, 12 Fe 2.92
Ho (0.0000, 0.0000, 0.5000) (multiplicity 1)  6 Ni 2.89, 12 Fe 3.21
Fe (0.0000, 0.5000, 0.2142) (multiplicity 6)  2 B 2.09
Ni (0.3333, 0.6667, 0.5000) (multiplicity 2)  6 Fe 2.48
B (0.3333, 0.6667, 0.0000) (multiplicity 2)  6 Fe 2.09



# 2
A plane-wave DFT calculation with PBE-GGA was carried out for a relaxed structure of KDyGa4Au2.

## Properties
- Calculated total energy: -3.431 eV/atom
- Magnetic moment: 0.00 μB per formula unit

Unit cell a=6.7511 b=4.5932 c=10.5286 alpha=90.00 beta=90.00 gamma=90.00
With the nearest neighbours (Å) after each atom.
Space group Amm2 (No. 38)
One atom of each set of equivalent atoms:
K (0.0000, 0.0000, 0.0000) (multiplicity 2)  3 Au 3.05-3.19, 6 Ga 3.12-3.30
Dy (0.5000, 0.0000, 0.8135) (multiplicity 2)  6 Ga 3.08-3.22, 3 Au 3.12-3.14
Ga (0.1983, 0.0000, 0.2865) (multiplicity 4)  2 Ga 2.68-2.70, 3 Au 2.76-2.78
Ga (0.3078, 0.0000, 0.5334) (multiplicity 4)  2 Ga 2.59-2.70, 3 Au 2.76-2.79
Au (0.0000, 0.0000, 0.7104) (multiplicity 2)  6 Ga 2.78-2.79, 1 K 3.05
Au (0.5000, 0.0000, 0.1097) (multiplicity 2)  6 Ga 2.76



# 3
A plane-wave DFT calculation with PBE-GGA was carried out for a relaxed structure of Hf2AlInNi2Pd2.

## Properties
- Calculated total energy: -6.606 eV/atom
- Magnetic moment: 0.00 μB per formula unit

Unit cell a=4.4904 b=4.4904 c=6.3803 alpha=90.00 beta=90.00 gamma=90.00
With the nearest neighbours (Å) after each atom.
Space group P-4m2 (No. 115)
One atom of each set of equivalent atoms:
Hf (0.0000, 0.0000, 0.0000) (multiplicity 1)  4 Ni 2.80, 4 Pd 2.82
Hf (0.5000, 0.5000, 0.5000) (multiplicity 1)  4 Pd 2.69, 4 Ni 2.71
Al (0.0000, 0.0000, 0.5000) (multiplicity 1)  4 Pd 2.69, 4 Ni 2.71
In (0.5000, 0.5000, 0.0000) (multiplicity 1)  4 Ni 2.80, 4 Pd 2.82
Ni (0.0000, 0.5000, 0.2620) (multiplicity 2)  4 Hf 2.71-2.80, 2 Al 2.71, 2 In 2.80, 1 Pd 3.00
Pd (0.0000, 0.5000, 0.7320) (multiplicity 2)  4 Hf 2.69-2.82, 2 Al 2.69, 2 In 2.82, 1 Ni 3.00



# 4
A plane-wave DFT calculation with PBE-GGA was carried out for a relaxed structure of BeTlFeAg.

## Properties
- Calculated total energy: -3.727 eV/atom
- Magnetic moment: 2.58 μB per formula unit
- Energy above the most stable polymorph in this dataset: 0.0000 eV/atom

Unit cell a=6.3125 b=6.3125 c=6.3125 alpha=90.00 beta=90.00 gamma=90.00
With the nearest neighbours (Å) after each atom.
Space group F-43m (No. 216)
One atom of each set of equivalent atoms:
Be (0.0000, 0.0000, 0.0000) (multiplicity 4)  4 Tl 2.73, 4 Ag 2.73
Tl (0.2500, 0.2500, 0.2500) (multiplicity 4)  4 Fe 2.73, 4 Be 2.73
Fe (0.0000, 0.0000, 0.5000) (multiplicity 4)  4 Ag 2.73, 4 Tl 2.73
Ag (0.2500, 0.2500, 0.7500) (multiplicity 4)  4 Fe 2.73, 4 Be 2.73



# 5
A plane-wave DFT calculation with PBE-GGA was carried out for a relaxed structure of AgH3C12N6.

## Properties
- Calculated total energy: -7.575 eV/atom

Unit cell a=36.4743 b=3.7154 c=20.6035 alpha=90.00 beta=119.63 gamma=90.00
With the nearest neighbours (Å) after each atom.
Space group C2/c (No. 15)
One atom of each set of equivalent atoms:
Ag (0.0743, 0.2156, 0.1954) (multiplicity 8)  4 N 2.19-2.27
H (0.2235, 0.1462, 0.8468) (multiplicity 8)  1 C 1.10
H (0.2311, 0.4508, 0.3989) (multiplicity 8)  1 C 1.10
H (0.2352, 0.4478, 0.3147) (multiplicity 8)  1 C 1.10
C (0.0275, 0.4697, 0.4056) (multiplicity 8)  1 N 1.17
C (0.0711, 0.4731, 0.9449) (multiplicity 8)  3 C 1.40-1.42
C (0.0789, 0.1825, 0.8433) (multiplicity 8)  1 N 1.17
C (0.0874, 0.2634, 0.5679) (multiplicity 8)  1 N 1.17
C (0.0953, 0.3118, 0.9161) (multiplicity 8)  3 C 1.40-1.42
C (0.0989, 0.4368, 0.5206) (multiplicity 8)  3 C 1.40-1.42
C (0.1381, 0.2990, 0.9741) (multiplicity 8)  3 C 1.41-1.42
C (0.1403, 0.4548, 0.0388) (multiplicity 8)  3 C 1.41-1.42
C (0.1716, 0.1475, 0.9679) (multiplicity 8)  1 N 1.17
C (0.1743, 0.4854, 0.2990) (multiplicity 8)  1 N 1.16
C (0.1766, 0.4970, 0.6089) (multiplicity 8)  1 N 1.17
C (0.2187, 0.4382, 0.8424) (multiplicity 8)  3 H 1.10
N (0.0090, 0.4273, 0.1274) (multiplicity 8)  1 C 1.17
N (0.0642, 0.0758, 0.7821) (multiplicity 8)  1 C 1.17
N (0.0773, 0.1183, 0.6070) (multiplicity 8)  1 C 1.17
N (0.1385, 0.4220, 0.2639) (multiplicity 8)  1 C 1.16
N (0.1988, 0.0130, 0.9620) (multiplicity 8)  1 C 1.17
N (0.2065, 0.4510, 0.6673) (multiplicity 8)  1 C 1.17



# 6
A plane-wave DFT calculation with PBE-GGA was carried out for a relaxed structure of Sm2Ho2CI5.

## Properties
- Calculated total energy: -4.662 eV/atom
- Magnetic moment: 0.35 μB per formula unit
- Energy above the most stable polymorph in this dataset: 0.0000 eV/atom

Unit cell a=19.4817 b=4.0091 c=8.7264 alpha=90.00 beta=102.40 gamma=90.00
With the nearest neighbours (Å) after each atom.
Space group C2/m (No. 12)
One atom of each set of equivalent atoms:
Sm (0.0007, 0.0000, 0.3065) (multiplicity 4)  2 C 2.62
Ho (0.1256, 0.5000, 0.5622) (multiplicity 4)  1 C 2.39
C (0.0000, 0.5000, 0.5000) (multiplicity 2)  2 Ho 2.39, 4 Sm 2.62
I (0.0000, 0.5000, 0.0000) (multiplicity 2)  4 Sm 3.34
I (0.1640, 0.0000, 0.8308) (multiplicity 4)  2 Ho 3.05, 1 Sm 3.17
I (0.1674, 0.0000, 0.3316) (multiplicity 4)  2 Ho 3.07, 1 Sm 3.21



# 7
A plane-wave DFT calculation with PBE-GGA was carried out for a relaxed structure of Tb3Zr3W2N12.

## Properties
- Calculated total energy: -9.052 eV/atom
- Magnetic moment: 0.07 μB per formula unit

Unit cell a=12.9794 b=12.9794 c=12.9794 alpha=90.00 beta=90.00 gamma=90.00
With the nearest neighbours (Å) after each atom.
Space group Ia-3d (No. 230)
One atom of each set of equivalent atoms:
Tb (0.0000, 0.2500, 0.1250) (multiplicity 24)  8 N 2.52-2.53
Zr (0.0000, 0.2500, 0.3750) (multiplicity 24)  4 N 2.03
W (0.0000, 0.0000, 0.0000) (multiplicity 16)  6 N 2.03
N (0.0265, 0.0576, 0.6429) (multiplicity 96)  1 W 2.03, 1 Zr 2.03



# 8
A plane-wave DFT calculation with PBE-GGA was carried out for a relaxed structure of Sc2In4IrPd.

## Properties
- Calculated total energy: -5.189 eV/atom
- Magnetic moment: 0.01 μB per formula unit

Unit cell a=7.3528 b=4.4261 c=10.1958 alpha=90.00 beta=90.00 gamma=90.00
With the nearest neighbours (Å) after each atom.
Space group Amm2 (No. 38)
One atom of each set of equivalent atoms:
Sc (0.0000, 0.0000, 0.0000) (multiplicity 2)  1 Pd 2.82, 4 In 3.16
Sc (0.5000, 0.0000, 0.1450) (multiplicity 2)  1 Ir 2.75
In (0.2059, 0.0000, 0.7135) (multiplicity 4)  1 Ir 2.72, 2 Pd 2.76, 2 In 2.88-3.03
In (0.2943, 0.0000, 0.4378) (multiplicity 4)  1 Pd 2.72, 2 Ir 2.76, 2 In 2.88-3.03
Ir (0.5000, 0.0000, 0.8749) (multiplicity 2)  6 In 2.72-2.76, 1 Sc 2.75
Pd (0.0000, 0.0000, 0.2768) (multiplicity 2)  6 In 2.72-2.76, 1 Sc 2.82



# 9
A plane-wave DFT calculation with PBE-GGA was carried out for a relaxed structure of LaSmAl2Pd4.

## Properties
- Calculated total energy: -5.628 eV/atom
- Magnetic moment: 0.00 μB per formula unit

Unit cell a=4.4199 b=4.4199 c=9.5341 alpha=90.00 beta=90.00 gamma=120.00
With the nearest neighbours (Å) after each atom.
Space group P-6m2 (No. 187)
One atom of each set of equivalent atoms:
La (0.0000, 0.0000, 0.0000) (multiplicity 1)  8 Pd 3.10-3.12
Sm (0.3333, 0.6667, 0.5000) (multiplicity 1)  8 Pd 3.01-3.04
Al (0.6667, 0.3333, 0.2575) (multiplicity 2)  6 Pd 2.64-2.65
Pd (0.0000, 0.0000, 0.3270) (multiplicity 2)  3 Al 2.64, 3 Pd 2.89
Pd (0.3333, 0.6667, 0.1839) (multiplicity 2)  3 Al 2.65, 3 Pd 2.89



# 10
A plane-wave DFT calculation with PBE-GGA was carried out for a relaxed structure of LaGdAl4Ni2.

## Properties
- Calculated total energy: -5.057 eV/atom
- Magnetic moment: 0.00 μB per formula unit

Unit cell a=6.9660 b=4.0739 c=10.6839 alpha=90.00 beta=90.00 gamma=90.00
With the nearest neighbours (Å) after each atom.
Space group Amm2 (No. 38)
One atom of each set of equivalent atoms:
La (0.0000, 0.0000, 0.0000) (multiplicity 2)  3 Ni 2.94-3.15, 6 Al 3.20-3.29
Gd (0.5000, 0.0000, 0.8894) (multiplicity 2)  3 Ni 2.91-3.17, 6 Al 3.16-3.25
Al (0.1980, 0.0000, 0.2793) (multiplicity 4)  3 Ni 2.45-2.53
Al (0.3102, 0.0000, 0.6118) (multiplicity 4)  3 Ni 2.48-2.49, 1 Al 2.64
Ni (0.0000, 0.0000, 0.7250) (multiplicity 2)  6 Al 2.48-2.53
Ni (0.5000, 0.0000, 0.1617) (multiplicity 2)  6 Al 2.45-2.49



# 11
A plane-wave DFT calculation with PBE-GGA was carried out for a relaxed structure of YBe2Zn.

## Properties
- Calculated total energy: -3.713 eV/atom
- Magnetic moment: 0.00 μB per formula unit

Unit cell a=6.2696 b=6.2696 c=6.2696 alpha=90.00 beta=90.00 gamma=90.00
With the nearest neighbours (Å) after each atom.
Space group F-43m (No. 216)
One atom of each set of equivalent atoms:
Y (0.0000, 0.0000, 0.0000) (multiplicity 4)  4 Be 2.71, 4 Zn 2.71
Be (0.0000, 0.0000, 0.5000) (multiplicity 4)  4 Be 2.71, 4 Zn 2.71
Be (0.2500, 0.2500, 0.2500) (multiplicity 4)  4 Be 2.71, 4 Y 2.71
Zn (0.2500, 0.2500, 0.7500) (multiplicity 4)  4 Be 2.71, 4 Y 2.71



# 12
A plane-wave DFT calculation with PBE-GGA was carried out for a relaxed structure of DyHo2Mg3Al2Hg.

## Properties
- Calculated total energy: -3.272 eV/atom
- Magnetic moment: 0.00 μB per formula unit

Unit cell a=4.5096 b=12.8087 c=7.3800 alpha=90.00 beta=90.00 gamma=90.00
With the nearest neighbours (Å) after each atom.
Space group Amm2 (No. 38)
One atom of each set of equivalent atoms:
Dy (0.0000, 0.0000, 0.0000) (multiplicity 2)  1 Hg 3.15, 4 Al 3.16, 2 Mg 3.32
Ho (0.0000, 0.2130, 0.3609) (multiplicity 4)  1 Hg 3.15, 4 Al 3.15, 2 Mg 3.32
Mg (0.5000, 0.0000, 0.3295) (multiplicity 2)  2 Al 2.85, 2 Hg 2.88, 2 Mg 3.12
Mg (0.5000, 0.1222, 0.6959) (multiplicity 4)  2 Al 2.85, 2 Hg 2.89, 2 Mg 3.12-3.13
Al (0.5000, 0.1670, 0.0739) (multiplicity 4)  3 Mg 2.85, 4 Ho 3.15, 2 Dy 3.16
Hg (0.0000, 0.0000, 0.5731) (multiplicity 2)  6 Mg 2.88-2.89, 2 Ho 3.15, 1 Dy 3.15